(1)
A plane-wave DFT calculation with GGA-PBE was carried out for crystalline BaAc2PtO5 at its relaxed geometry.

For the uncorrected formation energy, the calculation gives -2.2999 eV/atom. As for the calculated total energy: -6.852 eV per atom. The value obtained for the size of the total moment is 8.0 Bohr magnetons per cell. The density is 8.9 g/cm³.

Unit cell a=7.1288 b=7.1288 c=12.6931 alpha=90.00 beta=90.00 gamma=90.00
Space group I4/mcm (No. 140)
One atom of each set of equivalent atoms:
Ba  0.0000  0.0000  0.2500 (multiplicity 4)
Ac  0.1753  0.3247  0.0000 (multiplicity 8)
Pt  0.0000  0.5000  0.2500 (multiplicity 4)
O  0.0000  0.0000  0.0000 (multiplicity 4)
O  0.1364  0.3636  0.3783 (multiplicity 16)

***

(2)
A plane-wave DFT calculation with GGA-PBE was carried out for crystalline Ba3AcPt2O9 at its relaxed geometry.

The value obtained for the density of states at the Fermi level is 14.5 states/eV/cell. For the uncorrected formation energy, the calculation gives -1.8661 eV/atom. As for the calculated total energy: -6.305 eV per atom. The value obtained for the size of the total moment is 0.5 Bohr magnetons per cell. The density is 8.1 g/cm³.

Unit cell a=5.9907 b=5.9907 c=7.7224 alpha=90.00 beta=90.00 gamma=120.00
Space group P-3m1 (No. 164)
One atom of each set of equivalent atoms:
Ba  0.0000  0.0000  0.0000 (multiplicity 1)
Ba  0.3333  0.6667  0.7138 (multiplicity 2)
Ac  0.0000  0.0000  0.5000 (multiplicity 1)
Pt  0.3333  0.6667  0.1554 (multiplicity 2)
O  0.0000  0.5000  0.0000 (multiplicity 3)
O  0.1782  0.3563  0.3035 (multiplicity 6)

***

What is the size of the total moment in the second record?
0.5 Bohr magnetons per cell